(1)
DFT (PBE) results for an optimized crystal structure of MgCuSi2.

```
MgCuSi2
1.0
-1.939 1.939 4.007
1.939 -1.939 4.007
1.939 1.939 -4.007
Mg Cu Si
1 1 2
direct
0.000 0.000 0.000
0.500 0.500 0.000
0.250 0.750 0.500
0.750 0.250 0.500
```

Properties
**Formation energy (no corrections)**: 178.9 meV per atom
**DFT total energy**: -3.955 eV/atom
**DOS(E_F)**: 0.367 states/eV/atom
**Space-group type**: I4/mmm (139)
**Spin magnetization**: 0.0 μB/f.u.


(2)
DFT (PBE) results for an optimized crystal structure of MgCuSi2.

```
MgCuSi2
1.0
1.529 0.883 7.809
-1.529 0.883 7.809
0.000 -1.765 7.809
Mg Cu Si
1 1 2
direct
0.000 0.000 0.000
0.500 0.500 0.500
0.240 0.240 0.240
0.760 0.760 0.760
```

Properties
**Formation energy (no corrections)**: 211.9 meV per atom
**DFT total energy**: -3.922 eV/atom
**DOS(E_F)**: 0.270 states/eV/atom
**Space-group type**: R-3m (166)
**Spin magnetization**: 0.0 μB/f.u.